Compound: Cd2PtCl
Source: Alexandria
Functional: PBE
Structure: optimized geometry

abc: 3.1640 3.3861 7.8978
angles: 90.00 90.00 90.00
With the nearest neighbours (Å) after each atom.
Space group Pmmm (No. 47)
Asymmetric unit:
Cd: 0.0000 0.0000 0.2115  2 Cl 2.77, 4 Pt 2.86
Pt: 0.5000 0.5000 0.0000  8 Cd 2.86, 2 Pt 3.16
Cl: 0.5000 0.0000 0.5000  4 Cd 2.77

## Properties
volume	21.2	A^3/atom
uncorrected formation energy	-0.422	eV/atom
E above lowest polymorph	0.0	meV/atom



Compound: CdPt2Cl
Source: Alexandria
Functional: PBE
Structure: optimized geometry

abc: 2.8999 4.6435 10.8966
angles: 90.00 90.00 90.00
With the nearest neighbours (Å) after each atom.
Space group Immm (No. 71)
Asymmetric unit:
Cd: 0.0000 0.0000 0.0000  4 Cl 2.74, 2 Cd 2.90, 4 Pt 2.92
Pt: 0.0000 0.5000 0.2671  6 Pt 2.76-2.90, 2 Cd 2.92
Cl: 0.0000 0.0000 0.5000  4 Cd 2.74, 2 Cl 2.90

## Properties
volume	18.3	A^3/atom
uncorrected formation energy	0.037	eV/atom
E above lowest polymorph	76.4	meV/atom



Compound: CdPtCl4
Source: Alexandria
Functional: PBE
Structure: optimized geometry

abc: 8.0735 8.0735 8.0735
angles: 90.00 90.00 90.00
With the nearest neighbours (Å) after each atom.
Space group F-43m (No. 216)
Asymmetric unit:
Cd: 0.0000 0.0000 0.0000  12 Cl 3.35, 4 Pt 3.50
Pt: 0.2500 0.2500 0.2500  12 Cl 3.35, 4 Cd 3.50
Cl: 0.1249 0.1249 0.6249  6 Cl 2.85-2.86

## Properties
volume	21.9	A^3/atom
uncorrected formation energy	0.840	eV/atom



Compound: Cd2PtCl
Source: Alexandria
Functional: PBE
Structure: optimized geometry

abc: 3.9043 3.9043 11.0318
angles: 90.00 90.00 90.00
With the nearest neighbours (Å) after each atom.
Space group I-4m2 (No. 119)
Asymmetric unit:
Cd: 0.0000 0.0000 0.0000  4 Pt 2.76
Cd: 0.0000 0.5000 0.2500  4 Cl 2.76
Pt: 0.0000 0.0000 0.5000  4 Cd 2.76
Cl: 0.0000 0.5000 0.7500  4 Cd 2.76

## Properties
volume	21.0	A^3/atom
uncorrected formation energy	-0.059	eV/atom
E above lowest polymorph	362.9	meV/atom



Compound: Cd2PtCl
Source: Alexandria
Functional: PBE
Structure: optimized geometry

abc: 15.8271 3.2370 3.4241
angles: 90.00 91.74 90.00
With the nearest neighbours (Å) after each atom.
Space group Cm (No. 8)
Asymmetric unit:
Cd: 0.0000 0.0000 0.0000  2 Cl 2.69, 4 Pt 2.86-2.88
Cd: 0.2035 0.0000 0.0299  1 Cl 2.60, 4 Pt 2.82-2.85
Pt: 0.1037 0.5000 0.5100  8 Cd 2.82-2.88
Cl: 0.3649 0.0000 0.9059  3 Cd 2.60-2.69

## Properties
volume	21.9	A^3/atom
uncorrected formation energy	-0.419	eV/atom
E above lowest polymorph	2.9	meV/atom



Compound: CdPt2Cl
Source: Alexandria
Functional: PBE
Structure: optimized geometry

abc: 4.6377 4.6377 6.6771
angles: 90.00 90.00 90.00
With the nearest neighbours (Å) after each atom.
Space group I-4m2 (No. 119)
Asymmetric unit:
Cd: 0.0000 0.0000 0.0000  4 Cl 2.86, 4 Pt 2.86
Pt: 0.0000 0.0000 0.5000  4 Cl 2.86, 4 Pt 2.86
Pt: 0.0000 0.5000 0.2500  4 Cd 2.86, 4 Pt 2.86
Cl: 0.0000 0.5000 0.7500  4 Cd 2.86, 4 Pt 2.86

## Properties
volume	18.0	A^3/atom
uncorrected formation energy	0.278	eV/atom
E above lowest polymorph	317.3	meV/atom



Compound: Cd2PtCl
Source: Alexandria
Functional: PBE
Structure: optimized geometry

abc: 3.8120 3.8120 6.8566
angles: 90.00 90.00 90.00
With the nearest neighbours (Å) after each atom.
Space group P4mm (No. 99)
Asymmetric unit:
Cd: 0.0000 0.0000 0.0000  4 Pt 2.70
Cd: 0.5000 0.5000 0.3821  1 Pt 2.62, 4 Cl 2.87
Pt: 0.5000 0.5000 0.9997  5 Cd 2.62-2.70
Cl: 0.0000 0.0000 0.5277  4 Cd 2.87

## Properties
volume	24.9	A^3/atom
uncorrected formation energy	-0.207	eV/atom
E above lowest polymorph	215.2	meV/atom



Compound: CdPt3Cl
Source: Alexandria
Functional: PBE
Structure: optimized geometry

abc: 5.0335 5.0335 5.0335
angles: 90.00 90.00 90.00
With the nearest neighbours (Å) after each atom.
Space group Pm-3m (No. 221)
Asymmetric unit:
Cd: 0.0000 0.0000 0.0000  6 Pt 2.52
Pt: 0.0000 0.0000 0.5000  2 Cd 2.52
Cl: 0.5000 0.5000 0.5000  12 Pt 3.56

## Properties
volume	25.5	A^3/atom
uncorrected formation energy	1.474	eV/atom
E above lowest polymorph	668.4	meV/atom



Compound: Cd2PtCl
Source: Alexandria
Functional: PBE
Structure: optimized geometry

abc: 6.8633 6.8633 6.8633
angles: 90.00 90.00 90.00
With the nearest neighbours (Å) after each atom.
Space group Fm-3m (No. 225)
Asymmetric unit:
Cd: 0.2500 0.2500 0.2500  4 Cl 2.97, 4 Pt 2.97
Pt: 0.0000 0.0000 0.0000  8 Cd 2.97
Cl: 0.0000 0.0000 0.5000  8 Cd 2.97

## Properties
volume	20.2	A^3/atom
uncorrected formation energy	-0.037	eV/atom
E above lowest polymorph	384.7	meV/atom



Compound: CdPtCl3
Source: Alexandria
Functional: PBE
Structure: optimized geometry

abc: 5.1235 5.1235 5.1235
angles: 90.00 90.00 90.00
With the nearest neighbours (Å) after each atom.
Space group Pm-3m (No. 221)
Asymmetric unit:
Cd: 0.0000 0.0000 0.0000  6 Cl 2.56
Pt: 0.5000 0.5000 0.5000  12 Cl 3.62
Cl: 0.0000 0.0000 0.5000  2 Cd 2.56

## Properties
volume	26.9	A^3/atom
uncorrected formation energy	0.254	eV/atom
E above lowest polymorph	453.5	meV/atom



Compound: Cd2PtCl
Source: Alexandria
Functional: PBE
Structure: optimized geometry

abc: 3.2686 3.2686 26.7146
angles: 90.00 90.00 120.00
With the nearest neighbours (Å) after each atom.
Space group R3m (No. 160, hexagonal axes)
Asymmetric unit:
Cd: 0.0000 0.0000 0.0000  3 Cl 2.70
Cd: 0.0000 0.0000 0.2428  3 Pt 2.75, 3 Cd 3.07
Pt: 0.0000 0.0000 0.5013  3 Cd 2.75
Cl: 0.0000 0.0000 0.7388  3 Cd 2.70

## Properties
volume	20.6	A^3/atom
uncorrected formation energy	-0.042	eV/atom
E above lowest polymorph	379.3	meV/atom



Compound: CdPt2Cl
Source: Alexandria
Functional: PBE
Structure: optimized geometry

abc: 3.0678 3.0678 25.7363
angles: 90.00 90.00 120.00
With the nearest neighbours (Å) after each atom.
Space group R-3m (No. 166, hexagonal axes)
Asymmetric unit:
Cd: 0.0000 0.0000 0.0000  6 Pt 2.81, 6 Cd 3.07
Pt: 0.0000 0.0000 0.2484  3 Cl 2.75, 3 Cd 2.81, 6 Pt 3.07
Cl: 0.0000 0.0000 0.5000  6 Pt 2.75, 6 Cl 3.07

## Properties
volume	17.5	A^3/atom
uncorrected formation energy	0.157	eV/atom
E above lowest polymorph	196.4	meV/atom